1.
Density functional theory data (PBE) for crystalline V6Ga2H at its relaxed geometry.

a b c (Å): 4.4000 5.5249 5.5249
angles (deg): 56.52 88.07 88.07
Element x y z (fractional)
V (0.2640, 0.3161, 0.8340)
V (0.2328, 0.8218, 0.8218)
V (0.2640, 0.8340, 0.3161)
V (0.7360, 0.6839, 0.1660)
V (0.7672, 0.1782, 0.1782)
V (0.7360, 0.1660, 0.6839)
Ga (0.7492, 0.6681, 0.6681)
Ga (0.2508, 0.3319, 0.3319)
H (0.0000, 0.0000, 0.0000)

volume: 112 Å³/f.u.
total energy: -7.280 eV per atom
total moment: 0.00 Bohr magnetons per cell

***

2.
Density functional theory data (PBE) for crystalline WSe2I4 at its relaxed geometry.

a b c (Å): 5.7506 5.7506 8.5628
angles (deg): 70.38 70.38 90.00
Last column: magnetic moment on the atom in μB.
Element x y z (fractional)
I (0.8220, 0.8220, 0.3561)  0.04
I (0.1780, 0.1780, 0.6439)  0.04
I (0.0000, 0.5000, 0.0000)  -0.04
I (0.5000, 0.0000, 0.0000)  -0.04
Se (0.5798, 0.5798, 0.8404)  -0.08
Se (0.4202, 0.4202, 0.1596)  -0.08
W (0.0000, 0.0000, 0.0000)  1.16

volume: 249 Å³/f.u.
E_form (uncorrected): 12.0 kcal/mol of atoms
total energy: -3.214 eV per atom
total moment: 1.27 Bohr magnetons per cell

***

3.
Density functional theory data (PBE) for crystalline SrMg2Ir at its relaxed geometry.

a b c (Å): 4.5865 4.5865 10.2415
angles (deg): 77.06 77.06 90.00
Element x y z (fractional)
Sr (0.5000, 0.5000, 0.0000)
Sr (0.2500, 0.7500, 0.5000)
Mg (0.7200, 0.1250, 0.2500)
Mg (0.0300, 0.6250, 0.2500)
Mg (0.3750, 0.2800, 0.7500)
Mg (0.8750, 0.9700, 0.7500)
Ir (0.0000, 0.0000, 0.0000)
Ir (0.7500, 0.2500, 0.5000)

formation enthalpy at 0 K: 0.19 eV per atom
volume: 102 Å³/f.u.
total energy: -3.243 eV per atom
total moment: 0.00 Bohr magnetons per cell

***

4.
Density functional theory data (PBE) for crystalline Cr2HIrW at its relaxed geometry.

a b c (Å): 3.8529 3.8529 3.7995
angles (deg): 90.00 90.00 90.00
Element x y z (fractional)
Cr (0.0000, 0.5000, 0.0000)
Cr (0.5000, 0.0000, 0.0000)
Ir (0.0000, 0.0000, 0.5000)
W (0.5000, 0.5000, 0.5000)
H (0.0000, 0.0000, 0.0000)

volume: 56 Å³/f.u.
total energy: -8.845 eV per atom
total moment: 0.00 Bohr magnetons per cell

***

5.
Density functional theory data (PBE) for crystalline K3Rb2Sn2Au4 at its relaxed geometry.

a b c (Å): 5.5431 5.5431 14.1310
angles (deg): 101.31 101.31 90.00
Element x y z (fractional)
K (0.0000, 0.0000, 0.0000)
K (0.1399, 0.1399, 0.2799)
K (0.8601, 0.8601, 0.7201)
Rb (0.3126, 0.3126, 0.6253)
Rb (0.6874, 0.6874, 0.3747)
Sn (0.4444, 0.4444, 0.8889)
Sn (0.5556, 0.5556, 0.1111)
Au (0.4251, 0.9251, 0.8502)
Au (0.9251, 0.4251, 0.8502)
Au (0.0749, 0.5749, 0.1498)
Au (0.5749, 0.0749, 0.1498)

formation enthalpy at 0 K: -0.24 eV per atom
volume: 417 Å³/f.u.
total energy: -2.632 eV per atom
total moment: 0.00 Bohr magnetons per cell

***

6.
Density functional theory data (PBE) for crystalline YCuGe at its relaxed geometry.

a b c (Å): 4.4493 4.4493 6.5311
angles (deg): 90.00 90.00 90.00
Element x y z (fractional)
Y (0.0000, 0.0000, 0.5000)
Y (0.5000, 0.5000, 0.5000)
Ge (0.0000, 0.5000, 0.1749)
Ge (0.5000, 0.0000, 0.8251)
Cu (0.0000, 0.5000, 0.8087)
Cu (0.5000, 0.0000, 0.1913)

formation enthalpy at 0 K: 0.08 eV per atom
volume: 65 Å³/f.u.
total energy: -4.981 eV per atom
total moment: 0.00 Bohr magnetons per cell

***

7.
Density functional theory data (PBE) for crystalline Fe3HgBi at its relaxed geometry.

a b c (Å): 4.8606 4.8606 4.8606
angles (deg): 90.00 90.00 90.00
Last column: magnetic moment on the atom in μB.
Element x y z (fractional)
Fe (0.0000, 0.5000, 0.0000)  2.98
Fe (0.0000, 0.0000, 0.5000)  3.42
Fe (0.5000, 0.0000, 0.0000)  2.59
Bi (0.5000, 0.5000, 0.5000)  -0.12
Hg (0.0000, 0.0000, 0.0000)  -0.04

formation enthalpy at 0 K: 1.33 eV per atom
volume: 115 Å³/f.u.
total energy: -4.585 eV per atom
total moment: 9.00 Bohr magnetons per cell

***

8.
Density functional theory data (PBE) for crystalline FeIrW2 at its relaxed geometry.

a b c (Å): 4.7309 4.7309 4.7309
angles (deg): 131.87 131.87 70.44
Last column: magnetic moment on the atom in μB.
Element x y z (fractional)
Fe (0.2500, 0.7500, 0.5000)  0.93
Ir (0.7500, 0.2500, 0.5000)  -0.07
W (0.0000, 0.0000, 0.0000)  -0.08
W (0.5000, 0.5000, 0.0000)  -0.08

formation enthalpy at 0 K: -0.06 eV per atom
volume: 58 Å³/f.u.
total energy: -10.863 eV per atom
total moment: 0.68 Bohr magnetons per cell

***

Q: Number 1 is which compound?
A: V6Ga2H

***

Q: Which value of total moment does entry 4 give?
A: 0.00 Bohr magnetons per cell

***

Q: Which value of total energy does entry 6 give?
A: -4.981 eV per atom